# PBE-GGA Rb2TcCl4F2, relaxed
# Crystal system: monoclinic
# E_form (uncorrected): -1.724 eV/atom
data_Rb2TcCl4F2
_chemical_formula_sum 'Rb2 Tc1 Cl4 F2'
_space_group_name_H-M_alt 'P 1'
_space_group_IT_number 1
_cell_length_a 6.781
_cell_length_b 6.781
_cell_length_c 5.935
_cell_angle_alpha 101.86
_cell_angle_beta 101.86
_cell_angle_gamma 63.37
loop_
_space_group_symop_operation_xyz
'x,y,z'
loop_
_atom_site_label
_atom_site_type_symbol
_atom_site_fract_x
_atom_site_fract_y
_atom_site_fract_z
_atom_site_occupancy
Rb1 Rb 0.176 0.176 0.311 1
Rb2 Rb 0.824 0.824 0.689 1
Tc1 Tc 0.500 0.500 0.000 1
Cl1 Cl 0.175 0.651 0.187 1
Cl2 Cl 0.349 0.825 0.813 1
Cl3 Cl 0.651 0.175 0.187 1
Cl4 Cl 0.825 0.349 0.813 1
F1 F 0.356 0.356 0.739 1
F2 F 0.644 0.644 0.261 1

=====

# PBE-GGA FeC2I, relaxed
# Crystal system: cubic
# Polymorph energy (0 for the lowest one): 0.0 meV/atom
# E_form (uncorrected): 1.447 eV/atom
data_FeC2I
_chemical_formula_sum 'Fe2 C4 I2'
_space_group_name_H-M_alt 'P 1'
_space_group_IT_number 1
_cell_length_a 5.744
_cell_length_b 5.744
_cell_length_c 5.744
_cell_angle_alpha 60.00
_cell_angle_beta 60.00
_cell_angle_gamma 60.00
loop_
_space_group_symop_operation_xyz
'x,y,z'
loop_
_atom_site_label
_atom_site_type_symbol
_atom_site_fract_x
_atom_site_fract_y
_atom_site_fract_z
_atom_site_occupancy
Fe1 Fe 0.125 0.125 0.125 1
Fe2 Fe 0.875 0.875 0.875 1
C1 C 0.000 0.000 0.000 1
C2 C 0.000 0.000 0.500 1
C3 C 0.000 0.500 0.000 1
C4 C 0.500 0.000 0.000 1
I1 I 0.375 0.375 0.375 1
I2 I 0.625 0.625 0.625 1

=====

# PBE-GGA Ta2TiB2Os5, relaxed
# Crystal system: tetragonal
# Calculated total energy: -10.6067 eV per atom
data_Ta2TiB2Os5
_chemical_formula_sum 'Ta4 Ti2 B4 Os10'
_space_group_name_H-M_alt 'P 1'
_space_group_IT_number 1
_cell_length_a 9.430
_cell_length_b 9.430
_cell_length_c 3.022
_cell_angle_alpha 90.00
_cell_angle_beta 90.00
_cell_angle_gamma 90.00
loop_
_space_group_symop_operation_xyz
'x,y,z'
loop_
_atom_site_label
_atom_site_type_symbol
_atom_site_fract_x
_atom_site_fract_y
_atom_site_fract_z
_atom_site_occupancy
Ta1 Ta 0.178 0.322 0.000 1
Ta2 Ta 0.322 0.822 0.000 1
Ta3 Ta 0.678 0.178 0.000 1
Ta4 Ta 0.822 0.678 0.000 1
Ti1 Ti 0.000 0.000 0.000 1
Ti2 Ti 0.500 0.500 0.000 1
B1 B 0.123 0.623 0.000 1
B2 B 0.377 0.123 0.000 1
B3 B 0.623 0.877 0.000 1
B4 B 0.877 0.377 0.000 1
Os1 Os 0.000 0.500 0.500 1
Os2 Os 0.070 0.784 0.500 1
Os3 Os 0.216 0.070 0.500 1
Os4 Os 0.284 0.570 0.500 1
Os5 Os 0.430 0.284 0.500 1
Os6 Os 0.500 0.000 0.500 1
Os7 Os 0.570 0.716 0.500 1
Os8 Os 0.716 0.430 0.500 1
Os9 Os 0.784 0.930 0.500 1
Os10 Os 0.930 0.216 0.500 1

=====

# PBE-GGA Rb3TbPm2O6, relaxed
# Crystal system: monoclinic
# E_form (uncorrected): -2.618 eV/atom
data_Rb3TbPm2O6
_chemical_formula_sum 'Rb3 Tb1 Pm2 O6'
_space_group_name_H-M_alt 'P 1'
_space_group_IT_number 1
_cell_length_a 6.241
_cell_length_b 6.241
_cell_length_c 6.911
_cell_angle_alpha 98.66
_cell_angle_beta 98.66
_cell_angle_gamma 120.00
loop_
_space_group_symop_operation_xyz
'x,y,z'
loop_
_atom_site_label
_atom_site_type_symbol
_atom_site_fract_x
_atom_site_fract_y
_atom_site_fract_z
_atom_site_occupancy
Rb1 Rb 0.000 0.000 0.000 1
Rb2 Rb 0.334 0.666 0.000 1
Rb3 Rb 0.666 0.334 0.000 1
Tb1 Tb 0.500 0.500 0.500 1
Pm1 Pm 0.167 0.833 0.500 1
Pm2 Pm 0.833 0.167 0.500 1
O1 O 0.114 0.441 0.322 1
O2 O 0.233 0.233 0.678 1
O3 O 0.441 0.114 0.322 1
O4 O 0.559 0.886 0.678 1
O5 O 0.767 0.767 0.322 1
O6 O 0.886 0.559 0.678 1

=====

# PBE-GGA Sc3Ta, relaxed
# Crystal system: orthorhombic
# Polymorph energy (0 for the lowest one): 0.2 meV/atom
data_Sc3Ta
_chemical_formula_sum 'Sc3 Ta1'
_space_group_name_H-M_alt 'P 1'
_space_group_IT_number 1
_cell_length_a 3.132
_cell_length_b 5.002
_cell_length_c 5.611
_cell_angle_alpha 90.00
_cell_angle_beta 90.00
_cell_angle_gamma 90.00
loop_
_space_group_symop_operation_xyz
'x,y,z'
loop_
_atom_site_label
_atom_site_type_symbol
_atom_site_fract_x
_atom_site_fract_y
_atom_site_fract_z
_atom_site_occupancy
Sc1 Sc 0.000 0.000 0.000 1
Sc2 Sc 0.000 0.500 0.322 1
Sc3 Sc 0.500 0.000 0.523 1
Ta1 Ta 0.500 0.500 0.830 1

=====

# PBE-GGA DyCoH3, relaxed
# Crystal system: monoclinic
# Calculated total energy: -4.6621 eV per atom
data_DyCoH3
_chemical_formula_sum 'Dy1 Co1 H3'
_space_group_name_H-M_alt 'P 1'
_space_group_IT_number 1
_cell_length_a 3.476
_cell_length_b 3.476
_cell_length_c 4.759
_cell_angle_alpha 111.27
_cell_angle_beta 111.27
_cell_angle_gamma 90.00
loop_
_space_group_symop_operation_xyz
'x,y,z'
loop_
_atom_site_label
_atom_site_type_symbol
_atom_site_fract_x
_atom_site_fract_y
_atom_site_fract_z
_atom_site_occupancy
Dy1 Dy 0.000 0.000 0.000 1
Co1 Co 0.338 0.338 0.675 1
H1 H 0.302 0.802 0.602 1
H2 H 0.534 0.534 0.067 1
H3 H 0.802 0.302 0.602 1

=====

# PBE-GGA CaLaPmMg, relaxed
# Crystal system: cubic
# Polymorph energy (0 for the lowest one): 46.9 meV/atom
data_CaLaPmMg
_chemical_formula_sum 'Ca1 La1 Pm1 Mg1'
_space_group_name_H-M_alt 'P 1'
_space_group_IT_number 1
_cell_length_a 5.744
_cell_length_b 5.744
_cell_length_c 5.744
_cell_angle_alpha 60.00
_cell_angle_beta 60.00
_cell_angle_gamma 60.00
loop_
_space_group_symop_operation_xyz
'x,y,z'
loop_
_atom_site_label
_atom_site_type_symbol
_atom_site_fract_x
_atom_site_fract_y
_atom_site_fract_z
_atom_site_occupancy
Ca1 Ca 0.000 0.000 0.000 1
La1 La 0.250 0.250 0.250 1
Pm1 Pm 0.750 0.750 0.750 1
Mg1 Mg 0.500 0.500 0.500 1

=====

# PBE-GGA Sm2TlIr, relaxed
# Crystal system: tetragonal
# Polymorph energy (0 for the lowest one): 0.0 meV/atom
data_Sm2TlIr
_chemical_formula_sum 'Sm2 Tl1 Ir1'
_space_group_name_H-M_alt 'P 1'
_space_group_IT_number 1
_cell_length_a 3.532
_cell_length_b 3.532
_cell_length_c 8.211
_cell_angle_alpha 90.00
_cell_angle_beta 90.00
_cell_angle_gamma 90.00
loop_
_space_group_symop_operation_xyz
'x,y,z'
loop_
_atom_site_label
_atom_site_type_symbol
_atom_site_fract_x
_atom_site_fract_y
_atom_site_fract_z
_atom_site_occupancy
Sm1 Sm 0.000 0.000 0.206 1
Sm2 Sm 0.000 0.000 0.794 1
Tl1 Tl 0.500 0.500 0.500 1
Ir1 Ir 0.500 0.500 0.000 1

=====

# PBE-GGA Sr5Ca5Sb6, relaxed
# Crystal system: orthorhombic
# E_form (uncorrected): -0.988 eV/atom
data_Sr5Ca5Sb6
_chemical_formula_sum 'Sr5 Ca5 Sb6'
_space_group_name_H-M_alt 'P 1'
_space_group_IT_number 1
_cell_length_a 7.113
_cell_length_b 9.368
_cell_length_c 9.368
_cell_angle_alpha 119.67
_cell_angle_beta 90.00
_cell_angle_gamma 90.00
loop_
_space_group_symop_operation_xyz
'x,y,z'
loop_
_atom_site_label
_atom_site_type_symbol
_atom_site_fract_x
_atom_site_fract_y
_atom_site_fract_z
_atom_site_occupancy
Sr1 Sr 0.000 0.000 0.000 1
Sr2 Sr 0.000 0.256 0.507 1
Sr3 Sr 0.000 0.507 0.256 1
Sr4 Sr 0.500 0.001 0.255 1
Sr5 Sr 0.500 0.255 0.001 1
Ca1 Ca 0.250 0.587 0.919 1
Ca2 Ca 0.250 0.919 0.587 1
Ca3 Ca 0.500 0.513 0.513 1
Ca4 Ca 0.750 0.587 0.919 1
Ca5 Ca 0.750 0.919 0.587 1
Sb1 Sb 0.000 0.255 0.861 1
Sb2 Sb 0.000 0.648 0.648 1
Sb3 Sb 0.000 0.861 0.255 1
Sb4 Sb 0.500 0.261 0.646 1
Sb5 Sb 0.500 0.646 0.261 1
Sb6 Sb 0.500 0.857 0.857 1